Entry 1:
Density functional theory data (meta-GGA SCAN) for BiCSeBr2 at its PBEsol-relaxed geometry.

The calculation puts the magnetization at 0.00 Bohr magnetons per cell. The crystal system is tetragonal.

It has space group P4/mmm (No. 123), with a = 4.611 Å, b = 4.611 Å, c = 4.710 Å, α = 90.00°, β = 90.00° and γ = 90.00°. The distinct sites, in fractional coordinates, are Bi at (0.000, 0.000, 0.000), C at (0.500, 0.500, 0.500), Se at (0.500, 0.500, 0.000) and Br at (0.000, 0.500, 0.500).


Entry 2:
Density functional theory data (meta-GGA SCAN) for CaBi2Br2 at its PBEsol-relaxed geometry.

The calculation puts the magnetization at 0.00 Bohr magnetons per cell. The crystal system is tetragonal.

It has space group P4/mbm (No. 127), with a = 7.301 Å, b = 7.301 Å, c = 5.684 Å, α = 90.00°, β = 90.00° and γ = 90.00°. The distinct sites, in fractional coordinates, are Ca at (0.000, 0.000, 0.000), Bi at (0.152, 0.348, 0.500) and Br at (0.164, 0.664, 0.000).


Entry 3:
Density functional theory data (meta-GGA SCAN) for CaBiBr2 at its PBEsol-relaxed geometry.

The calculation puts the magnetization at 0.00 Bohr magnetons per cell. The crystal system is cubic.

It has space group Fm-3m (No. 225), with a = 7.576 Å, b = 7.576 Å, c = 7.576 Å, α = 90.00°, β = 90.00° and γ = 90.00°. The distinct sites, in fractional coordinates, are Ca at (0.000, 0.000, 0.000), Bi at (0.000, 0.000, 0.500) and Br at (0.250, 0.250, 0.250).


For each record above, in turn, the calculated energy relative to the elements, uncorrected values are 0.97, -0.59, -0.70 eV/atom.